# 1
An optimized crystal structure of PmDyAu2, computed with PBE.

Results
**Magnetization**: 0.00 Bohr magnetons per cell
**Calculated formation energy**: -0.85 eV/atom
**D(E_F)**: 2.3 states/eV/cell
**Polymorph energy (0 for the lowest one)**: 0.0 meV per atom
**Symmetry**: Pm (6)

abc: 3.786 4.738 5.889
angles: 90.00 108.85 90.00
Element x y z (fractional)
Pm: 0.443 0.500 0.426
Dy: 0.720 0.000 0.979
Au: 0.172 0.500 0.881
Au: 0.996 0.000 0.531

=====

# 2
An optimized crystal structure of SnN2F, computed with PBE.

Results
**Magnetization**: 0.00 Bohr magnetons per cell
**D(E_F)**: 2.6 states/eV/cell
**Formation energy without anion corrections**: 3.07 eV/f.u.
**Polymorph energy (0 for the lowest one)**: 47.5 meV per atom
**Symmetry**: I-42d (122)

abc: 3.543 3.543 8.463
angles: 77.92 77.92 90.00
Element x y z (fractional)
N: 0.851 0.125 0.250
N: 0.899 0.625 0.250
N: 0.375 0.149 0.750
N: 0.875 0.101 0.750
Sn: 0.000 0.000 0.000
Sn: 0.750 0.250 0.500
F: 0.500 0.500 0.000
F: 0.250 0.750 0.500